# 1
Density functional theory data (PBE) for an optimized crystal structure of BaSN3.

Output
* ΔE_f (raw): 3.024 eV per atom
* magnetic moment: 0.00 μB per formula unit

Cell: 4.5500 4.5500 4.5500 Å, 90.00 90.00 90.00°
Element x y z (fractional)
N (0.5000, 0.0000, 0.0000)
N (0.0000, 0.5000, 0.0000)
N (0.0000, 0.0000, 0.5000)
S (0.5000, 0.5000, 0.5000)
Ba (0.0000, 0.0000, 0.0000)


# 2
Density functional theory data (PBE) for an optimized crystal structure of Ba2SN.

Output
* ΔE_f (raw): -0.631 eV per atom
* magnetic moment: 1.00 μB per formula unit

Cell: 5.2371 5.2371 5.2371 Å, 60.00 60.00 60.00°
Element x y z (fractional)
S (0.5000, 0.5000, 0.5000)
N (0.0000, 0.0000, 0.0000)
Ba (0.2500, 0.2500, 0.2500)
Ba (0.7500, 0.7500, 0.7500)


# 3
Density functional theory data (PBE) for an optimized crystal structure of Ba12S3N5.

Output
* ΔE_f (raw): -0.750 eV per atom
* magnetic moment: 0.15 μB per formula unit

Cell: 15.0304 15.0304 15.0304 Å, 109.47 109.47 109.47°
Element x y z (fractional)
S (0.7500, 0.8750, 0.6250)
S (0.6250, 0.2500, 0.3750)
S (0.2500, 0.6250, 0.8750)
S (0.1250, 0.8750, 0.7500)
S (0.3750, 0.6250, 0.2500)
S (0.8750, 0.7500, 0.1250)
S (0.8750, 0.1250, 0.2500)
S (0.7500, 0.3750, 0.1250)
S (0.1250, 0.2500, 0.8750)
S (0.3750, 0.7500, 0.6250)
S (0.2500, 0.1250, 0.3750)
S (0.6250, 0.3750, 0.7500)
Ba (0.4166, 0.1234, 0.5964)
Ba (0.2932, 0.4166, 0.8202)
Ba (0.6798, 0.2068, 0.5834)
Ba (0.9730, 0.5964, 0.1798)
Ba (0.8766, 0.5834, 0.9036)
Ba (0.8766, 0.2932, 0.4730)
Ba (0.1798, 0.0834, 0.7068)
Ba (0.5270, 0.3202, 0.9036)
Ba (0.3202, 0.7932, 0.4166)
Ba (0.1234, 0.7068, 0.5270)
Ba (0.9036, 0.8202, 0.5270)
Ba (0.2068, 0.5270, 0.6234)
Ba (0.1798, 0.0964, 0.9730)
Ba (0.3202, 0.5270, 0.4036)
Ba (0.5964, 0.9730, 0.6798)
Ba (0.2932, 0.8766, 0.9730)
Ba (0.7068, 0.1234, 0.0270)
Ba (0.7068, 0.5834, 0.1798)
Ba (0.0270, 0.4036, 0.8202)
Ba (0.9166, 0.8202, 0.7932)
Ba (0.0964, 0.9166, 0.1234)
Ba (0.0834, 0.1798, 0.2068)
Ba (0.6798, 0.4730, 0.5964)
Ba (0.7932, 0.3202, 0.9166)
Ba (0.5834, 0.7068, 0.6798)
Ba (0.9730, 0.3766, 0.2932)
Ba (0.5964, 0.6234, 0.4166)
Ba (0.2068, 0.6798, 0.0834)
Ba (0.6234, 0.5964, 0.9166)
Ba (0.4036, 0.3766, 0.5834)
Ba (0.8202, 0.9166, 0.2932)
Ba (0.7932, 0.4730, 0.3766)
Ba (0.0964, 0.1798, 0.4730)
Ba (0.9166, 0.0964, 0.6234)
Ba (0.3766, 0.4036, 0.0834)
Ba (0.3766, 0.9730, 0.7932)
Ba (0.4730, 0.6798, 0.0964)
Ba (0.0834, 0.9036, 0.3766)
Ba (0.0270, 0.6234, 0.7068)
Ba (0.4166, 0.2932, 0.3202)
Ba (0.4730, 0.7932, 0.8766)
Ba (0.5834, 0.8766, 0.4036)
Ba (0.1234, 0.4166, 0.0964)
Ba (0.9036, 0.0834, 0.8766)
Ba (0.6234, 0.0270, 0.2068)
Ba (0.4036, 0.0270, 0.3202)
Ba (0.8202, 0.9036, 0.0270)
Ba (0.5270, 0.2068, 0.1234)
N (0.8750, 0.6250, 0.7500)
N (0.1250, 0.3750, 0.2500)
N (0.3750, 0.2500, 0.1250)
N (0.0000, 0.5000, 0.0000)
N (0.5000, 0.0000, 0.5000)
N (0.5000, 0.5000, 0.5000)
N (0.2500, 0.8750, 0.1250)
N (0.6250, 0.7500, 0.8750)
N (0.1250, 0.7500, 0.3750)
N (0.3750, 0.1250, 0.7500)
N (0.2500, 0.3750, 0.6250)
N (0.7500, 0.6250, 0.3750)
N (0.6250, 0.8750, 0.2500)
N (0.5000, 0.0000, 0.0000)
N (0.0000, 0.0000, 0.0000)
N (0.0000, 0.5000, 0.5000)
N (0.7500, 0.1250, 0.8750)
N (0.5000, 0.5000, 0.0000)
N (0.0000, 0.0000, 0.5000)
N (0.8750, 0.2500, 0.6250)